## SrUB2O8 (PBE)

Data for SrUB2O8 after structural relaxation.

Summary:
Volume   13.71 A^3/atom
Formation energy from raw total energies   -2.3804 eV/atom
Fermi-level density of states   4.73 states/eV/f.u.

Geometry as CIF:
```
data_SrUB2O8
_symmetry_space_group_name_H-M 'P 1'
_symmetry_Int_Tables_number 1
_symmetry_space_group_name_Hall 'P 1'
_cell_length_a 4.923
_cell_length_b 4.923
_cell_length_c 7.531
_cell_angle_alpha 89.35
_cell_angle_beta 89.35
_cell_angle_gamma 64.37
loop_
_atom_site_label
_atom_site_type_symbol
_atom_site_fract_x
_atom_site_fract_y
_atom_site_fract_z
B1 B 0.357 0.357 0.770
B2 B 0.643 0.643 0.230
O1 O 0.296 0.296 0.592
O2 O 0.220 0.685 0.792
O3 O 0.315 0.780 0.208
O4 O 0.685 0.220 0.792
O5 O 0.226 0.226 0.911
O6 O 0.774 0.774 0.089
O7 O 0.704 0.704 0.408
O8 O 0.780 0.315 0.208
Sr1 Sr 0.000 0.000 0.500
U1 U 0.000 0.000 0.000
```